1.
Ce4PuS10 | Alexandria via LeMat-Bulk | PBE-GGA | optimized geometry; uncorrected formation energy = -1.691 eV per atom; VASP energy = -104.700 eV per cell
1.0
-5.168 5.168 3.274
5.168 -5.168 3.274
5.168 5.168 -3.274
Ce Pu S
4 1 10
direct
0.100 0.700 0.800
0.300 0.100 0.400
0.700 0.900 0.600
0.900 0.300 0.200
0.500 0.500 0.000
0.055 0.352 0.902
0.153 0.055 0.703
0.250 0.750 0.500
0.352 0.450 0.297
0.450 0.153 0.098
0.550 0.847 0.902
0.648 0.550 0.703
0.750 0.250 0.500
0.847 0.945 0.297
0.945 0.648 0.098

2.
Tm4MnGa12 | Alexandria via LeMat-Bulk | PBE-GGA | optimized geometry; VASP energy = -71.987 eV per cell
1.0
-4.273 4.273 4.273
4.273 -4.273 4.273
4.273 4.273 -4.273
Tm Mn Ga
4 1 12
direct
0.000 0.000 0.500
0.000 0.500 0.000
0.500 0.000 0.000
0.500 0.500 0.500
0.000 0.000 0.000
0.000 0.287 0.287
0.000 0.713 0.713
0.250 0.500 0.750
0.250 0.750 0.500
0.287 0.000 0.287
0.287 0.287 0.000
0.500 0.250 0.750
0.500 0.750 0.250
0.713 0.000 0.713
0.713 0.713 0.000
0.750 0.250 0.500
0.750 0.500 0.250

3.
Y2BMoPb | Alexandria via LeMat-Bulk | PBE-GGA | optimized geometry; VASP energy = -35.028 eV per cell
1.0
5.084 0.000 0.000
0.000 5.084 0.000
0.000 0.000 4.243
Y B Mo Pb
2 1 1 1
direct
0.000 0.500 0.000
0.500 0.000 0.000
0.000 0.000 0.000
0.000 0.000 0.500
0.500 0.500 0.500

4.
LiHoRu4 | Alexandria via LeMat-Bulk | PBE-GGA | optimized geometry; VASP energy = -43.373 eV per cell
1.0
0.000 3.694 3.694
3.694 0.000 3.694
3.694 3.694 0.000
Li Ho Ru
1 1 4
direct
0.000 0.000 0.000
0.250 0.250 0.250
0.124 0.625 0.625
0.625 0.124 0.625
0.625 0.625 0.124
0.625 0.625 0.625

Number 1: size of the total moment 4.03 μB/f.u.. Number 2: size of the total moment 2.48 μB/f.u.. Number 3: size of the total moment 0.00 μB/f.u.. Number 4: size of the total moment 1.43 μB/f.u..